Below is crystalline HoMoBrO4 at its relaxed geometry, with properties calculated at the PBEsol level.

Cell and atoms, written as extended XYZ:
```
28
Lattice="-2.947 1.838 5.915 3.811 -5.381 2.853 7.513 7.287 -2.357" Properties=species:S:1:pos:R:3 pbc="T T T"
Ho 4.440 -2.239 3.938
Ho 7.172 2.717 2.329
Ho 1.205 1.027 4.082
Ho 3.937 5.983 2.473
O 1.975 -1.452 7.942
O 6.402 5.196 -1.531
O 0.955 2.317 5.913
O 0.324 -0.487 2.671
O 4.597 4.279 3.780
O 5.058 1.970 2.091
O 8.695 1.367 3.294
O -0.317 2.376 3.116
O 6.378 4.503 1.255
O 1.999 -0.760 5.156
O 8.054 4.231 3.739
O 6.332 2.122 4.441
O 3.320 1.774 4.320
O 2.045 1.622 1.970
O 7.422 1.427 0.498
O 3.780 -0.535 2.631
Br 5.206 -0.476 6.062
Br 9.567 3.659 0.862
Br 3.171 4.219 0.349
Br -1.190 0.085 5.548
Mo 6.405 5.828 0.095
Mo 3.702 0.926 1.669
Mo 1.972 -2.085 6.316
Mo 4.675 2.818 4.742
```

Values from the calculation:
Raw formation energy in eV/atom: -2.44
Total moment in μB per formula unit: 0.0
N(E_F) in states/eV/f.u.: 0.0
Uncorrected energy in eV per atom: -8.0989